Compound: TeAs2Pt
Source: the Alexandria database
Functional: meta-GGA SCAN
Structure: single point on PBEsol structure

Geometry as CIF:
```
data_TeAs2Pt
_chemical_formula_sum 'Te1 As2 Pt1'
_cell_length_a 3.009
_cell_length_b 3.009
_cell_length_c 8.839
_cell_angle_alpha 90.00
_cell_angle_beta 90.00
_cell_angle_gamma 90.00
_symmetry_space_group_name_H-M 'P 1'
_symmetry_Int_Tables_number 1
_symmetry_space_group_name_Hall 'P 1'
loop_
_atom_site_label
_atom_site_type_symbol
_atom_site_fract_x
_atom_site_fract_y
_atom_site_fract_z
As1 As 0.000 0.000 0.031
As2 As 0.500 0.500 0.288
Pt1 Pt 0.000 0.000 0.466
Te1 Te 0.500 0.500 0.715
```

Summary:
**Energy relative to the elements, uncorrected**: 0.2951 eV per atom
**D(E_F)**: 2.53 states/eV/f.u.